DFT (PBE) results for a relaxed Ca4Pa3InAs8 crystal.

Results
Calculated volume (Å³ per atom): 26.0
Formation enthalpy at 0 K (eV/f.u.): -15.9
Uncorrected energy (eV/cell): -277.1

CIF file:
```
data_Ca4Pa3InAs8
_space_group_name_H-M_alt 'R -3 m'
_space_group_IT_number 166
_space_group_name_Hall '-R 3 2"'
_cell_length_a 8.4162
_cell_length_b 8.4162
_cell_length_c 20.3567
_cell_angle_alpha 90.00
_cell_angle_beta 90.00
_cell_angle_gamma 120.00
loop_
_atom_site_label
_atom_site_type_symbol
_atom_site_fract_x
_atom_site_fract_y
_atom_site_fract_z
Ca1 Ca 0.0000 0.0000 0.0000
Ca2 Ca 0.0000 0.5000 0.0000
Pa1 Pa 0.0000 0.5000 0.5000
In1 In 0.0000 0.0000 0.5000
As1 As 0.0000 0.0000 0.2446
As2 As 0.0086 0.5043 0.7567
```

DFT (PBE) results for a relaxed AlBC3 crystal.

Results
Calculated volume (Å³ per atom): 8.4
Formation enthalpy at 0 K (eV/f.u.): 10.8
Uncorrected energy (eV/cell): -27.3

CIF file:
```
data_AlBC3
_space_group_name_H-M_alt 'P m -3 m'
_space_group_IT_number 221
_space_group_name_Hall '-P 4 2 3'
_cell_length_a 3.479
_cell_length_b 3.479
_cell_length_c 3.479
_cell_angle_alpha 90.00
_cell_angle_beta 90.00
_cell_angle_gamma 90.00
loop_
_atom_site_label
_atom_site_type_symbol
_atom_site_fract_x
_atom_site_fract_y
_atom_site_fract_z
Al1 Al 0.000 0.000 0.000
B1 B 0.500 0.500 0.500
C1 C 0.000 0.500 0.500
```

DFT (PBE) results for a relaxed Na3AlRh crystal.

Results
Calculated volume (Å³ per atom): 30.0
Formation enthalpy at 0 K (eV/f.u.): 3.6
Uncorrected energy (eV/cell): -11.4

CIF file:
```
data_Na3AlRh
_space_group_name_H-M_alt 'P m -3 m'
_space_group_IT_number 221
_space_group_name_Hall '-P 4 2 3'
_cell_length_a 5.312
_cell_length_b 5.312
_cell_length_c 5.312
_cell_angle_alpha 90.00
_cell_angle_beta 90.00
_cell_angle_gamma 90.00
loop_
_atom_site_label
_atom_site_type_symbol
_atom_site_fract_x
_atom_site_fract_y
_atom_site_fract_z
Na1 Na 0.000 0.000 0.500
Al1 Al 0.500 0.500 0.500
Rh1 Rh 0.000 0.000 0.000
```

DFT (PBE) results for a relaxed Ac7In2N2 crystal.

Results
Uncorrected formation energy (meV/atom): -455
Calculated volume (Å³ per atom): 36.2
Uncorrected energy (eV/cell): -111.8

CIF file:
```
data_Ac7In2N2
_space_group_name_H-M_alt 'C 1 2/m 1'
_space_group_IT_number 12
_cell_length_a 9.590
_cell_length_b 11.524
_cell_length_c 7.213
_cell_angle_alpha 90.00
_cell_angle_beta 92.01
_cell_angle_gamma 90.00
loop_
_space_group_symop_operation_xyz
'x,y,z'
'-x,-y,-z'
'-x,y,-z'
'x,-y,z'
'x+1/2,y+1/2,z'
'-x+1/2,-y+1/2,-z'
'-x+1/2,y+1/2,-z'
'x+1/2,-y+1/2,z'
loop_
_atom_site_label
_atom_site_type_symbol
_atom_site_fract_x
_atom_site_fract_y
_atom_site_fract_z
Ac1 Ac 0.000 0.000 0.000
Ac2 Ac 0.177 0.332 0.212
Ac3 Ac 0.180 0.500 0.696
In1 In 0.000 0.135 0.500
N1 N 0.234 0.500 0.024
```

DFT (PBE) results for a relaxed Zr3TaP crystal.

Results
Calculated volume (Å³ per atom): 22.7
Formation enthalpy at 0 K (eV/f.u.): -0.2
Uncorrected energy (eV/cell): -43.1

CIF file:
```
data_Zr3TaP
_space_group_name_H-M_alt 'P m -3 m'
_space_group_IT_number 221
_space_group_name_Hall '-P 4 2 3'
_cell_length_a 4.842
_cell_length_b 4.842
_cell_length_c 4.842
_cell_angle_alpha 90.00
_cell_angle_beta 90.00
_cell_angle_gamma 90.00
loop_
_atom_site_label
_atom_site_type_symbol
_atom_site_fract_x
_atom_site_fract_y
_atom_site_fract_z
Zr1 Zr 0.000 0.000 0.500
Ta1 Ta 0.500 0.500 0.500
P1 P 0.000 0.000 0.000
```

DFT (PBE) results for a relaxed HgGe2Bi crystal.

Results
Calculated volume (Å³ per atom): 31.7
Formation enthalpy at 0 K (eV/f.u.): 1.1
Uncorrected energy (eV/cell): -49.2

CIF file:
```
data_HgGe2Bi
_space_group_name_H-M_alt 'I -4 2 d'
_space_group_IT_number 122
_space_group_name_Hall 'I -4 2bw'
_cell_length_a 6.425
_cell_length_b 6.425
_cell_length_c 12.299
_cell_angle_alpha 90.00
_cell_angle_beta 90.00
_cell_angle_gamma 90.00
loop_
_atom_site_label
_atom_site_type_symbol
_atom_site_fract_x
_atom_site_fract_y
_atom_site_fract_z
Hg1 Hg 0.000 0.000 0.000
Ge1 Ge 0.231 0.250 0.125
Bi1 Bi 0.000 0.000 0.500
```

- Which of these has the lowest calculated volume?
  AlBC3